TbYIn5: optimized geometry, PBE-GGA.

Lattice parameters (Å, degrees): 4.654 4.654 8.614 90.00 90.00 90.00
Sites, in units of the cell vectors:
Tb1 0.000 0.000 0.000
Y1 0.000 0.000 0.500
In1 0.000 0.500 0.238
In2 0.000 0.500 0.762
In3 0.500 0.000 0.238
In4 0.500 0.000 0.762
In5 0.500 0.500 0.500

## Properties
total DFT energy (no corrections): -3.862 eV per atom